# 1
# KSm2Cl7, PBEsol geometry, DFT meta-GGA SCAN
# Energy ... -17.8135 eV/atom
# Formation energy (no corrections) ... -2508 meV/atom
data_KSm2Cl7
_chemical_formula_sum 'K4 Sm8 Cl28'
_cell_length_a 6.981
_cell_length_b 12.592
_cell_length_c 12.964
_cell_angle_alpha 90.00
_cell_angle_beta 92.50
_cell_angle_gamma 90.00
_symmetry_space_group_name_H-M 'P 1 21/c 1'
_symmetry_Int_Tables_number 14
loop_
_symmetry_equiv_pos_as_xyz
'x,y,z'
'-x,-y,-z'
'-x,y+1/2,-z+1/2'
'x,-y+1/2,z+1/2'
loop_
_atom_site_label
_atom_site_type_symbol
_atom_site_fract_x
_atom_site_fract_y
_atom_site_fract_z
K1 K 0.187 0.217 0.472
Sm1 Sm 0.212 0.535 0.262
Sm2 Sm 0.290 0.660 0.758
Cl1 Cl 0.003 0.209 0.183
Cl2 Cl 0.038 0.568 0.618
Cl3 Cl 0.083 0.522 0.874
Cl4 Cl 0.252 0.686 0.107
Cl5 Cl 0.431 0.063 0.621
Cl6 Cl 0.443 0.100 0.877
Cl7 Cl 0.483 0.671 0.341

=====

# 2
# KSrCl2, PBEsol geometry, DFT meta-GGA SCAN
# Energy ... -13.5617 eV/atom
# Formation energy (no corrections) ... -1922 meV/atom
# ΔE to the lowest computed polymorph ... 0.000 eV per atom
data_KSrCl2
_chemical_formula_sum 'K2 Sr2 Cl4'
_cell_length_a 16.168
_cell_length_b 3.893
_cell_length_c 4.260
_cell_angle_alpha 90.00
_cell_angle_beta 90.06
_cell_angle_gamma 90.00
_symmetry_space_group_name_H-M 'C 1 m 1'
_symmetry_Int_Tables_number 8
loop_
_symmetry_equiv_pos_as_xyz
'x,y,z'
'x,-y,z'
'x+1/2,y+1/2,z'
'x+1/2,-y+1/2,z'
loop_
_atom_site_label
_atom_site_type_symbol
_atom_site_fract_x
_atom_site_fract_y
_atom_site_fract_z
K1 K 0.000 0.000 0.000
Sr1 Sr 0.247 0.000 0.500
Cl1 Cl 0.109 0.500 0.500
Cl2 Cl 0.283 0.500 0.000

=====

# 3
# K2SrCl, PBEsol geometry, DFT meta-GGA SCAN
# Energy ... -12.1026 eV/atom
# Formation energy (no corrections) ... -375 meV/atom
# ΔE to the lowest computed polymorph ... 0.574 eV per atom
data_K2SrCl
_chemical_formula_sum 'K8 Sr4 Cl4'
_cell_length_a 9.217
_cell_length_b 9.217
_cell_length_c 9.217
_cell_angle_alpha 90.00
_cell_angle_beta 90.00
_cell_angle_gamma 90.00
_symmetry_space_group_name_H-M 'F -4 3 m'
_symmetry_Int_Tables_number 216
_symmetry_space_group_name_Hall 'F -4 2 3'
loop_
_atom_site_label
_atom_site_type_symbol
_atom_site_fract_x
_atom_site_fract_y
_atom_site_fract_z
K1 K 0.000 0.000 0.000
K2 K 0.250 0.250 0.250
Sr1 Sr 0.250 0.250 0.750
Cl1 Cl 0.000 0.000 0.500

=====

# 4
# K2SrCl, PBEsol geometry, DFT meta-GGA SCAN
# Energy ... -12.6762 eV/atom
# Formation energy (no corrections) ... -949 meV/atom
# ΔE to the lowest computed polymorph ... 0.000 eV per atom
data_K2SrCl
_chemical_formula_sum 'K2 Sr1 Cl1'
_cell_length_a 3.897
_cell_length_b 3.897
_cell_length_c 11.027
_cell_angle_alpha 90.00
_cell_angle_beta 90.23
_cell_angle_gamma 90.00
_symmetry_space_group_name_H-M 'P 1 2/m 1'
_symmetry_Int_Tables_number 10
loop_
_symmetry_equiv_pos_as_xyz
'x,y,z'
'-x,-y,-z'
'-x,y,-z'
'x,-y,z'
loop_
_atom_site_label
_atom_site_type_symbol
_atom_site_fract_x
_atom_site_fract_y
_atom_site_fract_z
K1 K 0.000 0.000 0.164
Sr1 Sr 0.500 0.500 0.500
Cl1 Cl 0.500 0.500 0.000

=====

# 5
# KSrCl2, PBEsol geometry, DFT meta-GGA SCAN
# Energy ... -13.3821 eV/atom
# Formation energy (no corrections) ... -1742 meV/atom
# ΔE to the lowest computed polymorph ... 0.180 eV per atom
data_KSrCl2
_chemical_formula_sum 'K1 Sr1 Cl2'
_cell_length_a 4.115
_cell_length_b 4.298
_cell_length_c 8.154
_cell_angle_alpha 90.00
_cell_angle_beta 90.00
_cell_angle_gamma 90.00
_symmetry_space_group_name_H-M 'P m m m'
_symmetry_Int_Tables_number 47
loop_
_symmetry_equiv_pos_as_xyz
'x,y,z'
'-x,-y,-z'
'-x,-y,z'
'x,y,-z'
'x,-y,-z'
'-x,y,z'
'-x,y,-z'
'x,-y,z'
loop_
_atom_site_label
_atom_site_type_symbol
_atom_site_fract_x
_atom_site_fract_y
_atom_site_fract_z
K1 K 0.000 0.000 0.000
Sr1 Sr 0.000 0.500 0.500
Cl1 Cl 0.500 0.000 0.500
Cl2 Cl 0.500 0.500 0.000

=====

# 6
# KSr2Cl5, PBEsol geometry, DFT meta-GGA SCAN
# Energy ... -14.2345 eV/atom
# Formation energy (no corrections) ... -2638 meV/atom
data_KSr2Cl5
_chemical_formula_sum 'K4 Sr8 Cl20'
_cell_length_a 8.795
_cell_length_b 7.771
_cell_length_c 12.543
_cell_angle_alpha 90.00
_cell_angle_beta 90.09
_cell_angle_gamma 90.00
_symmetry_space_group_name_H-M 'P 1 21/c 1'
_symmetry_Int_Tables_number 14
loop_
_symmetry_equiv_pos_as_xyz
'x,y,z'
'-x,-y,-z'
'-x,y+1/2,-z+1/2'
'x,-y+1/2,z+1/2'
loop_
_atom_site_label
_atom_site_type_symbol
_atom_site_fract_x
_atom_site_fract_y
_atom_site_fract_z
K1 K 0.010 0.042 0.330
Sr1 Sr 0.249 0.569 0.494
Sr2 Sr 0.499 0.523 0.177
Cl1 Cl 0.037 0.168 0.091
Cl2 Cl 0.270 0.695 0.717
Cl3 Cl 0.281 0.546 0.997
Cl4 Cl 0.284 0.171 0.816
Cl5 Cl 0.462 0.161 0.100